1.
## SrMgBr (PBE)

Data for a relaxed structure of SrMgBr.

Cell and atoms, written as POSCAR:
```
SrMgBr
1.0
7.942 0.000 0.000
0.000 7.942 0.000
0.000 0.000 7.942
Sr Mg Br
4 4 4
direct
0.000 0.000 0.000
0.000 0.500 0.500
0.500 0.000 0.500
0.500 0.500 0.000
0.250 0.250 0.750
0.250 0.750 0.250
0.750 0.250 0.250
0.750 0.750 0.750
0.250 0.250 0.250
0.250 0.750 0.750
0.750 0.250 0.750
0.750 0.750 0.250
```

Calculated values
* DFT total energy: -2.0557 eV per atom
* raw formation energy: -117 kJ/mol of formula units
* DOS at the Fermi energy: 12.17 states/eV/cell

2.
## Sr2MgBr6 (PBE)

Data for a relaxed structure of Sr2MgBr6.

Cell and atoms, written as POSCAR:
```
Sr2MgBr6
1.0
6.935 0.000 0.000
0.000 6.935 0.000
0.000 0.000 13.321
Sr Mg Br
4 2 12
direct
0.000 0.000 0.166
0.000 0.000 0.834
0.500 0.500 0.334
0.500 0.500 0.666
0.000 0.000 0.500
0.500 0.500 0.000
0.187 0.187 0.351
0.187 0.187 0.649
0.217 0.217 0.000
0.283 0.717 0.500
0.313 0.687 0.149
0.313 0.687 0.851
0.687 0.313 0.149
0.687 0.313 0.851
0.717 0.283 0.500
0.783 0.783 0.000
0.813 0.813 0.351
0.813 0.813 0.649
```

Calculated values
* DFT total energy: -3.5315 eV per atom
* raw formation energy: -1620 kJ/mol of formula units
* DOS at the Fermi energy: 0.00 states/eV/cell